# CrBi2OsO8 (GGA+U, optimized geometry)
data_CrBi2OsO8
_space_group_name_H-M_alt 'P 1'
_space_group_IT_number 1
_cell_length_a 5.023
_cell_length_b 5.039
_cell_length_c 6.548
_cell_angle_alpha 90.00
_cell_angle_beta 90.00
_cell_angle_gamma 90.45
loop_
_space_group_symop_operation_xyz
'x,y,z'
loop_
_atom_site_label
_atom_site_fract_x
_atom_site_fract_y
_atom_site_fract_z
_atom_site_occupancy
O1 0.155 0.812 0.237 1
O2 0.156 0.812 0.763 1
O3 0.300 0.276 0.500 1
Os1 0.000 0.000 0.000 1
Bi1 0.500 0.500 0.255 1
O4 0.285 0.229 0.000 1
O5 0.700 0.724 0.500 1
Cr1 0.000 0.000 0.500 1
O6 0.844 0.188 0.237 1
O7 0.715 0.771 0.000 1
Bi2 0.500 0.500 0.745 1
O8 0.845 0.188 0.763 1
# **Energy**: -0.245 hartree per atom
# **Density of states at the Fermi level**: 2.802 states/eV/cell